## Cs2Hg4Se5 (PBE)

Data for a relaxed Cs2Hg4Se5 crystal.

* density of states at the Fermi level: 0.13 states/eV per atom
* V: 358.2 Å³ per cell
* crystal system: monoclinic
* space-group type: C2/m (12)
* mass density: 6.8 Mg/m³
* uncorrected formation energy: -0.36 eV/atom

Cell lengths 8.3859, 8.3859, 7.9301 Å; angles 83.51, 125.11, 124.26 degrees
Element x y z (fractional)
Cs: 0.2780 0.0640 0.3421
Cs: 0.7220 0.9360 0.6579
Hg: 0.3111 0.4002 0.7113
Hg: 0.6889 0.5998 0.2887
Hg: 0.7898 0.2900 0.0798
Hg: 0.2102 0.7100 0.9202
Se: 0.7049 0.9254 0.1527
Se: 0.2951 0.0746 0.8473
Se: 0.0000 0.5000 0.5000
Se: 0.2273 0.4478 0.1527
Se: 0.7727 0.5522 0.8473